1.
DFT (PBE) results for TeMoCl4 after structural relaxation.

Geometry as CIF:
```
data_TeMoCl4
_space_group_name_H-M_alt 'P 1'
_space_group_IT_number 1
_cell_length_a 5.813
_cell_length_b 5.813
_cell_length_c 5.813
_cell_angle_alpha 60.00
_cell_angle_beta 60.00
_cell_angle_gamma 60.00
loop_
_space_group_symop_operation_xyz
'x,y,z'
loop_
_atom_site_label
_atom_site_fract_x
_atom_site_fract_y
_atom_site_fract_z
_atom_site_occupancy
Te1 0.000 0.000 0.000 1
Mo1 0.750 0.750 0.750 1
Cl1 0.871 0.376 0.376 1
Cl2 0.376 0.376 0.871 1
Cl3 0.376 0.871 0.376 1
Cl4 0.376 0.376 0.376 1
```



2.
# TeMoCl, optimized geometry, DFT PBE
# * relative energy among the computed polymorphs: 0.330 eV/atom
data_TeMoCl
_space_group_name_H-M_alt 'P 1'
_space_group_IT_number 1
_cell_length_a 7.561
_cell_length_b 7.561
_cell_length_c 7.561
_cell_angle_alpha 155.65
_cell_angle_beta 155.65
_cell_angle_gamma 34.71
loop_
_space_group_symop_operation_xyz
'x,y,z'
loop_
_atom_site_label
_atom_site_fract_x
_atom_site_fract_y
_atom_site_fract_z
_atom_site_occupancy
Cl1 0.944 0.944 0.000 1
Mo1 0.336 0.336 0.000 1
Te1 0.720 0.720 0.000 1



3.
# TeMoCl, optimized geometry, DFT PBE
# * relative energy among the computed polymorphs: 0.463 eV/atom
data_TeMoCl
_space_group_name_H-M_alt 'P 1'
_space_group_IT_number 1
_cell_length_a 3.505
_cell_length_b 7.194
_cell_length_c 7.832
_cell_angle_alpha 89.96
_cell_angle_beta 90.00
_cell_angle_gamma 90.02
loop_
_space_group_symop_operation_xyz
'x,y,z'
loop_
_atom_site_label
_atom_site_fract_x
_atom_site_fract_y
_atom_site_fract_z
_atom_site_occupancy
Te1 0.157 0.656 0.574 1
Te2 0.657 0.155 0.681 1
Mo1 0.657 0.419 0.452 1
Mo2 0.157 0.919 0.804 1
Cl1 0.157 0.879 0.089 1
Cl2 0.657 0.378 0.167 1



4.
# TeMoCl, optimized geometry, DFT PBE
# * relative energy among the computed polymorphs: 1.238 eV/atom
data_TeMoCl
_space_group_name_H-M_alt 'P 1'
_space_group_IT_number 1
_cell_length_a 4.862
_cell_length_b 4.862
_cell_length_c 4.862
_cell_angle_alpha 60.00
_cell_angle_beta 60.00
_cell_angle_gamma 60.00
loop_
_space_group_symop_operation_xyz
'x,y,z'
loop_
_atom_site_label
_atom_site_fract_x
_atom_site_fract_y
_atom_site_fract_z
_atom_site_occupancy
Cl1 0.000 0.000 0.000 1
Mo1 0.500 0.500 0.500 1
Te1 0.750 0.750 0.750 1



5.
# TeMoCl, optimized geometry, DFT PBE
# * relative energy among the computed polymorphs: 0.251 eV/atom
data_TeMoCl
_space_group_name_H-M_alt 'P 1'
_space_group_IT_number 1
_cell_length_a 3.894
_cell_length_b 3.894
_cell_length_c 6.738
_cell_angle_alpha 90.00
_cell_angle_beta 90.00
_cell_angle_gamma 120.00
loop_
_space_group_symop_operation_xyz
'x,y,z'
loop_
_atom_site_label
_atom_site_fract_x
_atom_site_fract_y
_atom_site_fract_z
_atom_site_occupancy
Cl1 0.000 0.000 0.112 1
Mo1 0.667 0.333 0.328 1
Te1 0.333 0.667 0.561 1



6.
# Te3MoCl, optimized geometry, DFT PBE
# * relative energy among the computed polymorphs: 0.304 eV/atom
data_Te3MoCl
_space_group_name_H-M_alt 'P 1'
_space_group_IT_number 1
_cell_length_a 5.274
_cell_length_b 5.274
_cell_length_c 5.274
_cell_angle_alpha 90.00
_cell_angle_beta 90.00
_cell_angle_gamma 90.00
loop_
_space_group_symop_operation_xyz
'x,y,z'
loop_
_atom_site_label
_atom_site_fract_x
_atom_site_fract_y
_atom_site_fract_z
_atom_site_occupancy
Mo1 0.000 0.000 0.000 1
Te1 0.000 0.500 0.000 1
Te2 0.000 0.000 0.500 1
Te3 0.500 0.000 0.000 1
Cl1 0.500 0.500 0.500 1



7.
DFT (PBE) results for TeMo3Cl7 after structural relaxation.

Geometry as CIF:
```
data_TeMo3Cl7
_space_group_name_H-M_alt 'P 1'
_space_group_IT_number 1
_cell_length_a 6.844
_cell_length_b 6.793
_cell_length_c 8.041
_cell_angle_alpha 78.95
_cell_angle_beta 64.81
_cell_angle_gamma 59.75
loop_
_space_group_symop_operation_xyz
'x,y,z'
loop_
_atom_site_label
_atom_site_fract_x
_atom_site_fract_y
_atom_site_fract_z
_atom_site_occupancy
Te1 0.751 0.600 0.898 1
Mo1 0.039 0.313 0.608 1
Mo2 0.622 0.725 0.610 1
Mo3 0.043 0.725 0.610 1
Cl1 0.329 0.913 0.429 1
Cl2 0.312 0.591 0.785 1
Cl3 0.857 0.896 0.390 1
Cl4 0.310 0.096 0.783 1
Cl5 0.811 0.096 0.783 1
Cl6 0.344 0.414 0.387 1
Cl7 0.855 0.414 0.387 1
```



8.
# Te3MoCl, optimized geometry, DFT PBE
# * relative energy among the computed polymorphs: 1.339 eV/atom
data_Te3MoCl
_space_group_name_H-M_alt 'P 1'
_space_group_IT_number 1
_cell_length_a 5.331
_cell_length_b 5.331
_cell_length_c 5.331
_cell_angle_alpha 90.00
_cell_angle_beta 90.00
_cell_angle_gamma 90.00
loop_
_space_group_symop_operation_xyz
'x,y,z'
loop_
_atom_site_label
_atom_site_fract_x
_atom_site_fract_y
_atom_site_fract_z
_atom_site_occupancy
Mo1 0.500 0.500 0.500 1
Te1 0.000 0.500 0.000 1
Te2 0.000 0.000 0.500 1
Te3 0.500 0.000 0.000 1
Cl1 0.000 0.000 0.000 1



9.
# TeMoCl, optimized geometry, DFT PBE
# * relative energy among the computed polymorphs: 0.000 eV/atom
data_TeMoCl
_space_group_name_H-M_alt 'P 1'
_space_group_IT_number 1
_cell_length_a 3.373
_cell_length_b 5.714
_cell_length_c 9.320
_cell_angle_alpha 60.52
_cell_angle_beta 90.00
_cell_angle_gamma 90.00
loop_
_space_group_symop_operation_xyz
'x,y,z'
loop_
_atom_site_label
_atom_site_fract_x
_atom_site_fract_y
_atom_site_fract_z
_atom_site_occupancy
Te1 0.503 0.650 0.232 1
Te2 0.003 0.762 0.529 1
Mo1 0.003 0.290 0.464 1
Mo2 0.503 0.122 0.298 1
Cl1 0.003 0.279 0.062 1
Cl2 0.503 0.133 0.699 1



10.
# Te3MoCl, optimized geometry, DFT PBE
# * relative energy among the computed polymorphs: 0.000 eV/atom
data_Te3MoCl
_space_group_name_H-M_alt 'P 1'
_space_group_IT_number 1
_cell_length_a 5.680
_cell_length_b 7.458
_cell_length_c 7.460
_cell_angle_alpha 120.00
_cell_angle_beta 90.00
_cell_angle_gamma 90.00
loop_
_space_group_symop_operation_xyz
'x,y,z'
loop_
_atom_site_label
_atom_site_fract_x
_atom_site_fract_y
_atom_site_fract_z
_atom_site_occupancy
Te1 0.750 0.640 0.820 1
Te2 0.250 0.820 0.640 1
Te3 0.250 0.360 0.180 1
Te4 0.750 0.180 0.360 1
Te5 0.250 0.820 0.180 1
Te6 0.750 0.180 0.820 1
Mo1 0.000 0.000 0.000 1
Mo2 0.500 0.000 0.000 1
Cl1 0.750 0.667 0.333 1
Cl2 0.250 0.333 0.667 1



11.
DFT (PBE) results for TeMo3Cl after structural relaxation.

Geometry as CIF:
```
data_TeMo3Cl
_space_group_name_H-M_alt 'P 1'
_space_group_IT_number 1
_cell_length_a 4.990
_cell_length_b 4.990
_cell_length_c 4.990
_cell_angle_alpha 90.00
_cell_angle_beta 90.00
_cell_angle_gamma 90.00
loop_
_space_group_symop_operation_xyz
'x,y,z'
loop_
_atom_site_label
_atom_site_fract_x
_atom_site_fract_y
_atom_site_fract_z
_atom_site_occupancy
Mo1 0.000 0.500 0.000 1
Mo2 0.000 0.000 0.500 1
Mo3 0.500 0.000 0.000 1
Te1 0.000 0.000 0.000 1
Cl1 0.500 0.500 0.500 1
```



12.
DFT (PBE) results for Ti2Te2MoCl4 after structural relaxation.

Geometry as CIF:
```
data_Ti2Te2MoCl4
_space_group_name_H-M_alt 'P 1'
_space_group_IT_number 1
_cell_length_a 3.389
_cell_length_b 3.389
_cell_length_c 22.383
_cell_angle_alpha 90.00
_cell_angle_beta 90.00
_cell_angle_gamma 120.00
loop_
_space_group_symop_operation_xyz
'x,y,z'
loop_
_atom_site_label
_atom_site_fract_x
_atom_site_fract_y
_atom_site_fract_z
_atom_site_occupancy
Ti1 0.000 0.000 0.972 1
Ti2 0.667 0.333 0.662 1
Te1 0.667 0.333 0.409 1
Te2 0.667 0.333 0.242 1
Mo1 0.000 0.000 0.325 1
Cl1 0.000 0.000 0.593 1
Cl2 0.667 0.333 0.041 1
Cl3 0.667 0.333 0.902 1
Cl4 0.000 0.000 0.731 1
```



13.
DFT (PBE) results for ThMoCl after structural relaxation.

Geometry as CIF:
```
data_ThMoCl
_space_group_name_H-M_alt 'P 1'
_space_group_IT_number 1
_cell_length_a 4.495
_cell_length_b 3.385
_cell_length_c 13.780
_cell_angle_alpha 77.65
_cell_angle_beta 71.14
_cell_angle_gamma 48.33
loop_
_space_group_symop_operation_xyz
'x,y,z'
loop_
_atom_site_label
_atom_site_fract_x
_atom_site_fract_y
_atom_site_fract_z
_atom_site_occupancy
Mo1 0.655 0.158 0.167 1
Mo2 0.057 0.159 0.266 1
Th1 0.393 0.160 0.431 1
Th2 0.320 0.156 0.002 1
Cl1 0.746 0.163 0.579 1
Cl2 0.966 0.157 0.855 1
```



Asked for energy relative to the elements, uncorrected across the records above, the calculation gives 561.4; -27.7; 10.7; 235.1; -50.7; 117.8; -859.7; 616.8; -123.2; -28.9; 1028.5; -926.6; -202.1 kJ/mol of formula units in order.